Entry 1:
BaHgSO | PBE | optimized geometry

abc: 4.280 4.280 11.460
angles: 90.00 90.00 90.00
Space group P4/nmm (No. 129, origin choice 2)
Unique sites:
Ba (0.250, 0.250, 0.111) [2 per cell]
Hg (0.250, 0.250, 0.608) [2 per cell]
S (0.250, 0.250, 0.382) [2 per cell]
O (0.250, 0.750, 0.000) [2 per cell]


Entry 2:
BaHgSO | PBE | optimized geometry

abc: 4.170 4.170 11.068
angles: 90.00 90.00 90.00
Space group P4/nmm (No. 129, origin choice 2)
Unique sites:
Ba (0.250, 0.250, 0.148) [2 per cell]
Hg (0.250, 0.750, 0.500) [2 per cell]
S (0.250, 0.250, 0.754) [2 per cell]
O (0.250, 0.250, 0.912) [2 per cell]


Entry 3:
BaHgSO | PBE | optimized geometry

abc: 4.904 4.904 8.258
angles: 90.00 90.00 90.00
Space group P4/nmm (No. 129, origin choice 2)
Unique sites:
Ba (0.250, 0.250, 0.182) [2 per cell]
Hg (0.250, 0.250, 0.633) [2 per cell]
S (0.250, 0.750, 0.500) [2 per cell]
O (0.250, 0.250, 0.895) [2 per cell]


Entry 4:
BaHgSO | PBE | optimized geometry

abc: 3.817 14.947 6.265
angles: 90.00 90.00 90.00
Space group Cmcm (No. 63)
Unique sites:
Ba (0.000, 0.140, 0.250) [4 per cell]
Hg (0.000, 0.428, 0.250) [4 per cell]
S (0.000, 0.196, 0.750) [4 per cell]
O (0.000, 0.000, 0.000) [4 per cell]


Entry 5:
BaHgSO | PBE | optimized geometry

abc: 7.846 3.871 12.719
angles: 90.00 90.00 90.00
Space group Pnma (No. 62)
Unique sites:
Ba (0.053, 0.250, 0.219) [4 per cell]
Hg (0.193, 0.750, 0.466) [4 per cell]
S (0.160, 0.250, 0.624) [4 per cell]
O (0.234, 0.750, 0.877) [4 per cell]


Entry 6:
BaHgSO | PBE | optimized geometry

abc: 5.864 5.864 7.352
angles: 90.00 90.00 90.00
Space group P4/nmm (No. 129, origin choice 2)
Unique sites:
Ba (0.250, 0.750, 0.000) [2 per cell]
Hg (0.250, 0.250, 0.311) [2 per cell]
S (0.250, 0.250, 0.845) [2 per cell]
O (0.250, 0.250, 0.624) [2 per cell]


Entry 7:
BaHgSO | PBE | optimized geometry

abc: 4.476 4.476 9.271
angles: 90.00 90.00 90.00
Space group P4/nmm (No. 129, origin choice 2)
Unique sites:
Ba (0.250, 0.250, 0.202) [2 per cell]
Hg (0.250, 0.250, 0.589) [2 per cell]
S (0.250, 0.250, 0.862) [2 per cell]
O (0.250, 0.750, 0.500) [2 per cell]


Entry 8:
BaHgSO | PBE | optimized geometry

abc: 7.777 14.650 8.133
angles: 90.00 90.00 90.00
Space group Pbca (No. 61)
Unique sites:
Ba (0.249, 0.067, 0.055) [8 per cell]
Hg (0.013, 0.727, 0.749) [8 per cell]
S (0.001, 0.057, 0.749) [8 per cell]
O (0.240, 0.201, 0.244) [8 per cell]


Number 1: final energy -30.8 eV per cell. Number 2: final energy -32.5 eV per cell. Number 3: final energy -31.3 eV per cell. Number 4: final energy -60.6 eV per cell. Number 5: final energy -63.0 eV per cell. Number 6: final energy -29.5 eV per cell. Number 7: final energy -31.8 eV per cell. Number 8: final energy -126.5 eV per cell.